(1)
The following is a PBE-GGA calculation of a geometry-optimized LiTlMoSe3 structure, from the Open Quantum Materials Database. Values from VASP.

The structure in Quantum ESPRESSO input format:
```
&SYSTEM
  ibrav = 0, nat = 12, ntyp = 4
/
ATOMIC_SPECIES
Se 78.96 Se.upf
Li 6.94 Li.upf
Tl 204.38 Tl.upf
Mo 95.94 Mo.upf
CELL_PARAMETERS angstrom
1.925 -7.129 0.000
1.925 7.129 0.000
0.000 0.000 9.979
ATOMIC_POSITIONS crystal
Se 0.064 0.936 0.750
Se 0.377 0.623 0.536
Li 0.541 0.459 0.250
Se 0.623 0.377 0.036
Se 0.936 0.064 0.250
Se 0.377 0.623 0.964
Tl 0.743 0.257 0.750
Mo 0.000 0.000 0.000
Li 0.459 0.541 0.750
Mo 0.000 0.000 0.500
Se 0.623 0.377 0.464
Tl 0.257 0.743 0.250
```

Results
**Uncorrected energy**: -56.92 eV/cell
**Space group**: Cmcm

***

(2)
The following is a PBE-GGA calculation of a geometry-optimized ErScAl4Pt2 structure, from the Open Quantum Materials Database. Values from VASP.

The structure in Quantum ESPRESSO input format:
```
&SYSTEM
  ibrav = 0, nat = 8, ntyp = 4
/
ATOMIC_SPECIES
Sc 44.96 Sc.upf
Pt 195.08 Pt.upf
Er 167.26 Er.upf
Al 26.98 Al.upf
CELL_PARAMETERS angstrom
-10.167 3.737 -3.761
-11.084 1.086 -2.730
-0.744 1.743 3.820
ATOMIC_POSITIONS crystal
Sc 0.522 0.522 0.820
Pt 0.367 0.367 0.324
Er 0.773 0.773 0.854
Al 0.209 0.209 0.353
Al 0.968 0.968 0.319
Al 0.902 0.902 0.820
Al 0.140 0.140 0.851
Pt 0.613 0.613 0.348
```

Results
**Uncorrected energy**: -42.54 eV/cell
**Space group**: Cm

***

(3)
The following is a PBE-GGA calculation of a geometry-optimized NbBiAsO structure, from the Open Quantum Materials Database. Values from VASP.

The structure in Quantum ESPRESSO input format:
```
&SYSTEM
  ibrav = 0, nat = 8, ntyp = 4
/
ATOMIC_SPECIES
Nb 92.91 Nb.upf
O 16.00 O.upf
Bi 208.98 Bi.upf
As 74.92 As.upf
CELL_PARAMETERS angstrom
4.330 0.000 0.000
0.000 4.330 0.000
0.000 0.000 9.841
ATOMIC_POSITIONS crystal
Nb 0.500 0.000 0.978
O 0.000 0.000 0.000
Bi 0.000 0.000 0.500
As 0.000 0.500 0.265
As 0.500 0.000 0.735
Bi 0.500 0.500 0.500
Nb 0.000 0.500 0.022
O 0.500 0.500 0.000
```

Results
**Space group**: P4/nmm
**Excess energy over the best structure of this formula in the dataset**: 0.97 eV/f.u.

***

(4)
The following is a PBE-GGA calculation of a geometry-optimized PrAs2Au structure, from the Open Quantum Materials Database. Values from VASP.

The structure in Quantum ESPRESSO input format:
```
&SYSTEM
  ibrav = 0, nat = 32, ntyp = 3
/
ATOMIC_SPECIES
Pr 140.91 Pr.upf
As 74.92 As.upf
Au 196.97 Au.upf
CELL_PARAMETERS angstrom
-2.775 1.517 -4.906
-1.300 -5.620 -1.002
-17.621 2.178 10.640
ATOMIC_POSITIONS crystal
Pr 0.750 0.514 0.884
As 0.528 0.775 0.501
As 0.250 0.015 0.660
Au 0.500 0.731 0.250
Pr 0.250 0.514 0.616
As 0.472 0.775 0.999
Au 0.500 0.269 0.750
As 0.750 0.516 0.659
Pr 0.750 0.984 0.120
Au 0.000 0.766 0.750
As 0.472 0.225 0.499
As 0.028 0.775 0.999
Pr 0.250 0.486 0.116
As 0.750 0.484 0.159
As 0.250 0.516 0.841
As 0.250 0.484 0.341
As 0.972 0.225 0.001
Pr 0.750 0.016 0.620
As 0.750 0.015 0.840
Au 0.500 0.234 0.250
Pr 0.250 0.984 0.380
Au 0.000 0.269 0.750
Au 0.000 0.234 0.250
As 0.028 0.225 0.499
Au 0.000 0.731 0.250
Pr 0.750 0.486 0.384
Pr 0.250 0.016 0.880
As 0.250 0.985 0.160
As 0.528 0.225 0.001
As 0.972 0.775 0.501
Au 0.500 0.766 0.750
As 0.750 0.985 0.340
```

Results
**Uncorrected energy**: -163.32 eV/cell
**Space group**: Pbcm

***

(5)
The following is a PBE-GGA calculation of a geometry-optimized GdTm2S3 structure, from the Open Quantum Materials Database. Values from VASP.

The structure in Quantum ESPRESSO input format:
```
&SYSTEM
  ibrav = 0, nat = 6, ntyp = 3
/
ATOMIC_SPECIES
Tm 168.93 Tm.upf
S 32.06 S.upf
Gd 157.25 Gd.upf
CELL_PARAMETERS angstrom
-0.247 0.805 3.774
-2.419 -2.562 -1.592
6.166 -6.999 1.896
ATOMIC_POSITIONS crystal
Tm 0.667 0.333 0.835
S 0.333 0.667 0.676
Tm 0.333 0.667 0.165
S 0.667 0.333 0.324
Gd 0.000 0.000 0.500
S 0.000 0.000 0.000
```

Results
**Uncorrected energy**: -37.75 eV/cell
**Space group**: P-3m1

***

(6)
The following is a PBE-GGA calculation of a geometry-optimized NdHoAu6 structure, from the Open Quantum Materials Database. Values from VASP.

The structure in Quantum ESPRESSO input format:
```
&SYSTEM
  ibrav = 0, nat = 8, ntyp = 3
/
ATOMIC_SPECIES
Au 196.97 Au.upf
Ho 164.93 Ho.upf
Nd 144.24 Nd.upf
CELL_PARAMETERS angstrom
-3.066 -0.859 -3.933
4.950 -1.381 -3.557
-0.388 -4.959 1.385
ATOMIC_POSITIONS crystal
Au 0.000 0.248 0.342
Au 0.500 0.767 0.663
Au 0.000 0.752 0.342
Au 0.500 0.233 0.663
Ho 0.000 0.000 0.846
Au 0.000 0.500 0.823
Au 0.500 0.000 0.164
Nd 0.500 0.500 0.159
```

Results
**Space group**: Pmm2
**ΔE_f**: -0.696 eV/atom

***

(7)
The following is a PBE-GGA calculation of a geometry-optimized Li4Dy2O5 structure, from the Open Quantum Materials Database. Values from VASP.

The structure in Quantum ESPRESSO input format:
```
&SYSTEM
  ibrav = 0, nat = 11, ntyp = 3
/
ATOMIC_SPECIES
O 16.00 O.upf
Dy 162.50 Dy.upf
Li 6.94 Li.upf
CELL_PARAMETERS angstrom
1.848 2.305 3.349
-6.479 1.867 2.289
-1.413 -3.098 2.912
ATOMIC_POSITIONS crystal
O 0.000 0.315 0.843
O 0.000 0.685 0.157
O 0.500 0.000 0.000
Dy 0.500 0.683 0.158
Li 0.500 0.000 0.500
Dy 0.500 0.317 0.842
Li 0.000 0.626 0.687
Li 0.000 0.000 0.000
O 0.500 0.329 0.335
Li 0.000 0.374 0.313
O 0.500 0.671 0.665
```

Results
**Uncorrected energy**: -69.83 eV/cell
**Space group**: Cmmm

***

(8)
The following is a PBE-GGA calculation of a geometry-optimized Sm3Ga2Ni6 structure, from the Open Quantum Materials Database. Values from VASP.

The structure in Quantum ESPRESSO input format:
```
&SYSTEM
  ibrav = 0, nat = 22, ntyp = 3
/
ATOMIC_SPECIES
Sm 150.36 Sm.upf
Ni 58.69 Ni.upf
Ga 69.72 Ga.upf
CELL_PARAMETERS angstrom
-4.505 -4.505 -4.505
-4.505 4.505 4.505
4.505 4.505 -4.505
ATOMIC_POSITIONS crystal
Sm 0.708 0.000 0.708
Sm 0.000 0.708 0.708
Ni 0.665 0.331 0.665
Ni 0.335 0.000 0.665
Ni 0.000 0.665 0.335
Ni 0.331 0.665 0.665
Ni 0.665 0.335 0.000
Ni 0.335 0.335 0.669
Sm 0.708 0.708 0.000
Ni 0.669 0.335 0.335
Ga 0.500 0.500 0.500
Sm 0.292 0.000 0.292
Ni 0.335 0.665 0.000
Ni 0.665 0.000 0.335
Ga 0.500 0.000 0.000
Sm 0.292 0.292 0.000
Ni 0.335 0.669 0.335
Ni 0.000 0.335 0.665
Sm 0.000 0.292 0.292
Ni 0.665 0.665 0.331
Ga 0.000 0.500 0.000
Ga 0.000 0.000 0.500
```

Results
**Uncorrected energy**: -118.23 eV/cell
**Space group**: Im-3m

***

Number 1: total moment 1.99 μB/f.u.. Number 2: total moment 0.01 μB/f.u.. Number 3: total moment 0.00 μB/f.u.. Number 4: total moment 0.00 μB/f.u.. Number 5: total moment 0.00 μB/f.u.. Number 6: total moment 0.00 μB/f.u.. Number 7: total moment 0.00 μB/f.u.. Number 8: total moment 0.02 μB/f.u..